A:
The following is a DFT calculation (PBE) of a geometry-optimized Sm2Dy3Cd structure.

Total magnetization, μB per atom: 0.000
Volume, Å³ per atom: 31.34

Structure (POSCAR):
```
Sm2Dy3Cd
1.0
6.3673 0.0000 0.0000
0.0000 5.7818 0.0000
-3.1837 -2.8909 5.1085
Sm Cd Dy
2 1 3
direct
0.8199 0.4442 0.6397 Sm
0.1801 0.8045 0.3603 Sm
0.5000 0.1227 0.0000 Cd
0.0000 0.1250 0.0000 Dy
0.3430 0.4662 0.6859 Dy
0.6570 0.7803 0.3141 Dy
```

=====

B:
The following is a DFT calculation (PBE) of a geometry-optimized Sm2Dy3Cd structure.

Total magnetization, μB per atom: 0.000
Volume, Å³ per atom: 30.48

Structure (POSCAR):
```
Sm2Dy3Cd
1.0
-0.0747 -3.0659 1.8659
-0.7033 -1.8177 -3.0148
13.9140 -1.6932 -2.2251
Dy Sm Cd
3 2 1
direct
0.0000 0.0000 0.3556 Dy
0.0000 0.0000 0.6444 Dy
0.0000 0.0000 0.0000 Dy
0.5000 0.5000 0.8213 Sm
0.5000 0.5000 0.1787 Sm
0.5000 0.5000 0.5000 Cd
```

=====

Which structure wins on stability? B wins.

=====

A:
The following is a DFT calculation (PBE) of a geometry-optimized Sm6Dy2Cd structure.

Total magnetization, μB per atom: 0.000
Volume, Å³ per atom: 32.30

Structure (POSCAR):
```
Sm6Dy2Cd
1.0
-1.2857 5.6034 -3.6363
-7.0517 3.1639 9.7713
1.0409 5.7858 8.2203
Sm Cd Dy
12 2 4
direct
0.3994 0.0267 0.1459 Sm
0.4768 0.3491 0.4073 Sm
0.8675 0.6923 0.9596 Sm
0.1187 0.0466 0.8164 Sm
0.8030 0.3348 0.7202 Sm
0.8813 0.9534 0.1836 Sm
0.9681 0.3199 0.3676 Sm
0.1325 0.3077 0.0404 Sm
0.1970 0.6652 0.2798 Sm
0.6006 0.9733 0.8541 Sm
0.0319 0.6801 0.6324 Sm
0.5232 0.6509 0.5927 Sm
0.3038 0.3486 0.7095 Cd
0.6962 0.6514 0.2905 Cd
0.7426 0.9765 0.4926 Dy
0.6433 0.3530 0.0656 Dy
0.2574 0.0235 0.5074 Dy
0.3567 0.6470 0.9344 Dy
```

=====

B:
The following is a DFT calculation (PBE) of a geometry-optimized Sm6Dy2Cd structure.

Total magnetization, μB per atom: 0.000
Volume, Å³ per atom: 31.77

Structure (POSCAR):
```
Sm6Dy2Cd
1.0
5.0339 0.0000 0.2467
0.0000 10.6527 0.0000
-0.5216 0.0000 10.6391
Sm Cd Dy
12 2 4
direct
0.4999 0.1681 0.9992 Sm
0.9999 0.3384 0.1616 Sm
0.5001 0.8319 0.0008 Sm
0.4999 0.1616 0.6616 Sm
0.0000 0.9993 0.8319 Sm
0.5000 0.4993 0.6681 Sm
0.5001 0.8384 0.3384 Sm
0.0001 0.6616 0.8384 Sm
0.0000 0.0007 0.1681 Sm
0.0001 0.6681 0.5008 Sm
0.9999 0.3319 0.4992 Sm
0.5000 0.5007 0.3319 Sm
0.5000 0.5000 0.0000 Cd
0.0000 0.0000 0.5000 Cd
0.9999 0.3339 0.8339 Dy
0.0001 0.6661 0.1661 Dy
0.5001 0.8339 0.6661 Dy
0.4999 0.1661 0.3339 Dy
```

=====

Which structure wins on stability? A wins.

=====

A:
The following is a DFT calculation (PBE) of a geometry-optimized Sm3DyCd structure.

Total magnetization, μB per atom: 0.000
Volume, Å³ per atom: 30.95

Structure (POSCAR):
```
Sm3DyCd
1.0
6.5035 -0.0647 -0.0720
-1.7000 9.7447 1.0205
-1.7000 -0.0267 9.7980
Sm Cd Dy
12 4 4
direct
0.8675 0.9989 0.6259 Sm
0.4690 0.5335 0.6690 Sm
0.6325 0.3741 0.0011 Sm
0.8611 0.7286 0.8707 Sm
0.9690 0.6690 0.5335 Sm
0.6389 0.1293 0.2714 Sm
0.0310 0.3310 0.4665 Sm
0.1389 0.2714 0.1293 Sm
0.3611 0.8707 0.7286 Sm
0.5310 0.4665 0.3310 Sm
0.3675 0.6259 0.9989 Sm
0.1325 0.0011 0.3741 Sm
0.2500 0.1488 0.8512 Cd
0.7500 0.0824 0.9176 Cd
0.7500 0.8512 0.1488 Cd
0.2500 0.9176 0.0824 Cd
0.5202 0.2083 0.6027 Dy
0.9798 0.3973 0.7917 Dy
0.4798 0.7917 0.3973 Dy
0.0202 0.6027 0.2083 Dy
```

=====

B:
The following is a DFT calculation (PBE) of a geometry-optimized Sm3DyCd structure.

Total magnetization, μB per atom: 0.000
Volume, Å³ per atom: 31.55

Structure (POSCAR):
```
Sm3DyCd
1.0
3.5070 0.0000 -0.6206
-0.2662 8.2707 -1.5046
0.1563 -1.3461 11.1031
Dy Sm Cd
2 6 2
direct
0.7323 0.8186 0.4645 Dy
0.2677 0.1814 0.5355 Dy
0.3796 0.9553 0.7592 Sm
0.6204 0.0447 0.2408 Sm
0.1752 0.4443 0.3504 Sm
0.8248 0.5557 0.6496 Sm
0.9858 0.7662 0.9716 Sm
0.0142 0.2338 0.0284 Sm
0.5777 0.6003 0.1554 Cd
0.4223 0.3997 0.8446 Cd
```

=====

Which structure wins on stability? A wins.

=====

A:
The following is a DFT calculation (PBE) of a geometry-optimized Sm2Dy3Cd2 structure.

Total magnetization, μB per atom: 0.000
Volume, Å³ per atom: 29.19

Structure (POSCAR):
```
Sm2Dy3Cd2
1.0
-1.1900 -1.3015 5.1275
2.0979 -3.7383 -3.3290
6.3883 5.0534 2.7653
Dy Cd Sm
3 2 2
direct
0.6562 0.3125 0.4686 Dy
0.5000 0.0000 0.0000 Dy
0.3438 0.6875 0.5314 Dy
0.2128 0.4256 0.1375 Cd
0.7872 0.5744 0.8625 Cd
0.9255 0.8510 0.2753 Sm
0.0745 0.1490 0.7247 Sm
```

=====

B:
The following is a DFT calculation (PBE) of a geometry-optimized Sm2Dy3Cd2 structure.

Total magnetization, μB per atom: 0.110
Volume, Å³ per atom: 29.69

Structure (POSCAR):
```
Sm2Dy3Cd2
1.0
3.5556 0.0000 -0.4290
0.0000 3.5423 0.0000
0.1847 0.0000 16.4797
Dy Cd Sm
3 2 2
direct
0.5754 0.5000 0.1507 Dy
0.0000 0.0000 0.0000 Dy
0.4246 0.5000 0.8493 Dy
0.1375 0.0000 0.2751 Cd
0.8625 0.0000 0.7249 Cd
0.7029 0.5000 0.4057 Sm
0.2971 0.5000 0.5943 Sm
```

=====

Which structure wins on stability? A wins.

=====

A:
The following is a DFT calculation (PBE) of a geometry-optimized SmDyCd3 structure.

Total magnetization, μB per atom: 0.000
Volume, Å³ per atom: 25.89

Structure (POSCAR):
```
SmDyCd3
1.0
-3.2023 0.3106 1.3563
-0.0868 -4.9087 0.9192
7.5115 2.2501 12.7254
Sm Cd Dy
2 6 2
direct
0.0748 0.2500 0.1497 Sm
0.9252 0.7500 0.8503 Sm
0.4761 0.2500 0.9521 Cd
0.6219 0.7500 0.2439 Cd
0.3781 0.2500 0.7561 Cd
0.6761 0.2500 0.3522 Cd
0.5239 0.7500 0.0479 Cd
0.3239 0.7500 0.6478 Cd
0.2150 0.7500 0.4300 Dy
0.7850 0.2500 0.5700 Dy
```

=====

B:
The following is a DFT calculation (PBE) of a geometry-optimized SmDyCd3 structure.

Total magnetization, μB per atom: 0.000
Volume, Å³ per atom: 25.97

Structure (POSCAR):
```
SmDyCd3
1.0
-3.7149 -4.6030 -2.7371
-0.2578 -4.0298 7.1270
-7.8656 6.8795 -0.8938
Cd Sm Dy
12 4 4
direct
0.3405 0.6594 0.4437 Cd
0.8405 0.8406 0.0563 Cd
0.0464 0.7817 0.7575 Cd
0.1205 0.9488 0.3664 Cd
0.1595 0.1594 0.9437 Cd
0.8795 0.0512 0.6336 Cd
0.9536 0.2183 0.2425 Cd
0.6595 0.3406 0.5563 Cd
0.6205 0.5512 0.1336 Cd
0.4536 0.2817 0.2575 Cd
0.3795 0.4488 0.8664 Cd
0.5464 0.7183 0.7425 Cd
0.1183 0.5438 0.1590 Sm
0.8817 0.4562 0.8410 Sm
0.3817 0.0438 0.6590 Sm
0.6183 0.9562 0.3410 Sm
0.1801 0.3719 0.5466 Dy
0.3199 0.8719 0.0466 Dy
0.8199 0.6281 0.4534 Dy
0.6801 0.1281 0.9534 Dy
```

=====

Which structure wins on stability? A wins.